InCuNiS3 (PBE, optimized geometry); raw total energy = -50.52 eV for the cell shown
1.0
1.8000 -6.4138 0.0000
1.8000 6.4138 0.0000
0.0000 0.0000 8.6067
In Cu Ni S
2 2 2 6
direct
0.2444 0.7556 0.7500 In
0.7556 0.2444 0.2500 In
0.4776 0.5224 0.2500 Cu
0.5224 0.4776 0.7500 Cu
0.0000 0.0000 0.0000 Ni
0.0000 0.0000 0.5000 Ni
0.0815 0.9185 0.2500 S
0.3640 0.6360 0.0515 S
0.3640 0.6360 0.4485 S
0.6360 0.3640 0.5515 S
0.6360 0.3640 0.9485 S
0.9185 0.0815 0.7500 S